{"formula": "Co3OF5", "functional": "PBE+U", "state": "optimized geometry", "lattice_angstrom": [[-0.0363, 10.3968, 0.5485], [-2.6398, -8.4134, 5.5356], [2.8432, -0.0570, 1.2692]], "species": ["Co", "Co", "Co", "Co", "Co", "Co", "O", "O", "F", "F", "F", "F", "F", "F", "F", "F", "F", "F"], "fractional_positions": [[0.0000, 0.0000, 0.0000], [0.5000, 0.5000, 0.5000], [0.6527, 0.3473, 0.0000], [0.8284, 0.1716, 0.5000], [0.1716, 0.8284, 0.5000], [0.3473, 0.6527, 0.0000], [0.5946, 0.4054, 0.5000], [0.4054, 0.5946, 0.5000], [0.3108, 0.3108, 0.0000], [0.6892, 0.6892, 0.0000], [0.3626, 0.0287, 0.0000], [0.7245, 0.2755, 0.5000], [0.0665, 0.9335, 0.5000], [0.9713, 0.6374, 0.0000], [0.0287, 0.3626, 0.0000], [0.9335, 0.0665, 0.5000], [0.2755, 0.7245, 0.5000], [0.6374, 0.9713, 0.0000]], "dft_energy_ev_per_cell": -92.179, "spacegroup": "Cmmm", "vol_a3_per_cell": 212.0, "polymorph_energy_mev_per_atom": 30, "crystal_system": "orthorhombic", "magmom_total_mub_per_fu": 2.958}